# PBE+U Tl3CrF, optimized geometry
# **Distance to the lowest polymorph of the same formula**: 277.7 meV/atom
# **Mass density**: 6.8 g/cm3
# **E_tot**: -16.6 eV per formula unit
# **DOS(E_F)**: 2.59 states/eV per cell
# **Symmetry**: Pm-3m (221)
data_Tl3CrF
_cell_length_a 5.4987
_cell_length_b 5.4987
_cell_length_c 5.4987
_cell_angle_alpha 90.00
_cell_angle_beta 90.00
_cell_angle_gamma 90.00
_space_group_name_H-M_alt 'P 1'
_space_group_IT_number 1
loop_
_space_group_symop_operation_xyz
'x,y,z'
loop_
_atom_site_label
_atom_site_type_symbol
_atom_site_fract_x
_atom_site_fract_y
_atom_site_fract_z
_atom_site_occupancy
Tl1 Tl 0.0000 0.5000 0.0000 1
Cr1 Cr 0.0000 0.0000 0.0000 1
Tl2 Tl 0.5000 0.0000 0.0000 1
Tl3 Tl 0.0000 0.0000 0.5000 1
F1 F 0.5000 0.5000 0.5000 1